# La8Cd, relaxed, DFT PBE-GGA
data_La8Cd
_cell_length_a 6.2956
_cell_length_b 6.3245
_cell_length_c 8.9912
_cell_angle_alpha 89.87
_cell_angle_beta 89.45
_cell_angle_gamma 60.15
_space_group_name_H-M_alt 'P -1'
_space_group_IT_number 2
_space_group_name_Hall '-P 1'
loop_
_atom_site_label
_atom_site_type_symbol
_atom_site_fract_x
_atom_site_fract_y
_atom_site_fract_z
La1 La 0.0026 0.1734 0.3284
La2 La 0.3193 0.1782 0.6711
La3 La 0.3344 0.4991 0.3288
La4 La 0.3366 0.8208 0.0001
Cd1 Cd 0.0000 0.5000 0.0000
# uncorrected energy: -40.6 eV per formula unit
# energy of formation: -34 meV/atom
# offset from the most stable computed form: 0.5 meV per atom
# D(E_F): 14.8 states/eV per cell

---

# LaCd3, relaxed, DFT PBE-GGA
data_LaCd3
_cell_length_a 3.5868
_cell_length_b 3.5868
_cell_length_c 9.8278
_cell_angle_alpha 90.00
_cell_angle_beta 90.00
_cell_angle_gamma 120.00
_space_group_name_H-M_alt 'P -6 m 2'
_space_group_IT_number 187
_space_group_name_Hall 'P -6 2'
loop_
_atom_site_label
_atom_site_type_symbol
_atom_site_fract_x
_atom_site_fract_y
_atom_site_fract_z
La1 La 0.0000 0.0000 0.0000
Cd1 Cd 0.0000 0.0000 0.5000
Cd2 Cd 0.6667 0.3333 0.2745
# uncorrected energy: -7.9 eV per formula unit
# energy of formation: -68 meV/atom
# D(E_F): 3.5 states/eV per cell

---

# La2Cd, relaxed, DFT PBE-GGA
data_La2Cd
_cell_length_a 5.5506
_cell_length_b 5.5586
_cell_length_c 12.7643
_cell_angle_alpha 90.00
_cell_angle_beta 90.00
_cell_angle_gamma 90.00
_space_group_name_H-M_alt 'F m m m'
_space_group_IT_number 69
_space_group_name_Hall '-F 2 2'
loop_
_atom_site_label
_atom_site_type_symbol
_atom_site_fract_x
_atom_site_fract_y
_atom_site_fract_z
La1 La 0.0000 0.0000 0.1524
Cd1 Cd 0.0000 0.0000 0.5000
# uncorrected energy: -11.4 eV per formula unit
# energy of formation: -209 meV/atom
# D(E_F): 13.0 states/eV per cell

---

# La3Cd, relaxed, DFT PBE-GGA
data_La3Cd
_cell_length_a 3.7256
_cell_length_b 3.7256
_cell_length_c 11.4508
_cell_angle_alpha 90.00
_cell_angle_beta 90.00
_cell_angle_gamma 120.00
_space_group_name_H-M_alt 'P -6 m 2'
_space_group_IT_number 187
_space_group_name_Hall 'P -6 2'
loop_
_atom_site_label
_atom_site_type_symbol
_atom_site_fract_x
_atom_site_fract_y
_atom_site_fract_z
La1 La 0.0000 0.0000 0.0000
La2 La 0.3333 0.6667 0.2686
Cd1 Cd 0.0000 0.0000 0.5000
# uncorrected energy: -15.8 eV per formula unit
# energy of formation: -36 meV/atom
# D(E_F): 6.5 states/eV per cell

---

# La5Cd, relaxed, DFT PBE-GGA
data_La5Cd
_cell_length_a 9.4495
_cell_length_b 9.4495
_cell_length_c 9.4495
_cell_angle_alpha 90.00
_cell_angle_beta 90.00
_cell_angle_gamma 90.00
_space_group_name_H-M_alt 'F -4 3 m'
_space_group_IT_number 216
_space_group_name_Hall 'F -4 2 3'
loop_
_atom_site_label
_atom_site_type_symbol
_atom_site_fract_x
_atom_site_fract_y
_atom_site_fract_z
La1 La 0.0000 0.0000 0.0000
La2 La 0.1243 0.1243 0.3757
Cd1 Cd 0.2500 0.2500 0.7500
# uncorrected energy: -24.4 eV per formula unit
# energy of formation: 197 meV/atom
# offset from the most stable computed form: 305.9 meV per atom
# D(E_F): 35.5 states/eV per cell

---

# LaCd8, relaxed, DFT PBE-GGA
data_LaCd8
_cell_length_a 9.6244
_cell_length_b 9.6244
_cell_length_c 4.7169
_cell_angle_alpha 90.00
_cell_angle_beta 90.00
_cell_angle_gamma 90.00
_space_group_name_H-M_alt 'I 4/m m m'
_space_group_IT_number 139
_space_group_name_Hall '-I 4 2'
loop_
_atom_site_label
_atom_site_type_symbol
_atom_site_fract_x
_atom_site_fract_y
_atom_site_fract_z
La1 La 0.0000 0.0000 0.0000
Cd1 Cd 0.0000 0.3425 0.0000
Cd2 Cd 0.1754 0.1754 0.5000
# uncorrected energy: -13.5 eV per formula unit
# energy of formation: -137 meV/atom
# D(E_F): 8.0 states/eV per cell

---

# La7Cd6, relaxed, DFT PBE-GGA
data_La7Cd6
_cell_length_a 6.9538
_cell_length_b 6.9538
_cell_length_c 29.6597
_cell_angle_alpha 90.00
_cell_angle_beta 90.00
_cell_angle_gamma 120.00
_space_group_name_H-M_alt 'R -3 m'
_space_group_IT_number 166
_space_group_name_Hall '-R 3 2"'
loop_
_atom_site_label
_atom_site_type_symbol
_atom_site_fract_x
_atom_site_fract_y
_atom_site_fract_z
La1 La 0.0000 0.0000 0.0000
La2 La 0.0172 0.5086 0.4091
Cd1 Cd 0.0000 0.0000 0.1649
Cd2 Cd 0.0000 0.0000 0.3552
Cd3 Cd 0.0000 0.0000 0.4523
# uncorrected energy: -39.3 eV per formula unit
# energy of formation: 50 meV/atom
# D(E_F): 45.9 states/eV per cell

---

# La2Cd, relaxed, DFT PBE-GGA
data_La2Cd
_cell_length_a 13.4128
_cell_length_b 3.8886
_cell_length_c 7.8318
_cell_angle_alpha 90.00
_cell_angle_beta 106.36
_cell_angle_gamma 90.00
_space_group_name_H-M_alt 'C 1 2/m 1'
_space_group_IT_number 12
_space_group_name_Hall '-C 2y'
loop_
_atom_site_label
_atom_site_type_symbol
_atom_site_fract_x
_atom_site_fract_y
_atom_site_fract_z
La1 La 0.1442 0.0000 0.0609
La2 La 0.1624 0.0000 0.5915
Cd1 Cd 0.0107 0.5000 0.2734
# uncorrected energy: -11.4 eV per formula unit
# energy of formation: -210 meV/atom
# D(E_F): 12.9 states/eV per cell

---

# LaCd, relaxed, DFT PBE-GGA
data_LaCd
_cell_length_a 3.9376
_cell_length_b 3.9376
_cell_length_c 3.9376
_cell_angle_alpha 90.00
_cell_angle_beta 90.00
_cell_angle_gamma 90.00
_space_group_name_H-M_alt 'P m -3 m'
_space_group_IT_number 221
_space_group_name_Hall '-P 4 2 3'
loop_
_atom_site_label
_atom_site_type_symbol
_atom_site_fract_x
_atom_site_fract_y
_atom_site_fract_z
La1 La 0.0000 0.0000 0.0000
Cd1 Cd 0.5000 0.5000 0.5000
# uncorrected energy: -6.5 eV per formula unit
# energy of formation: -330 meV/atom
# D(E_F): 3.1 states/eV per cell

---

# LaCd4, relaxed, DFT PBE-GGA
data_LaCd4
_cell_length_a 6.9964
_cell_length_b 6.9964
_cell_length_c 5.1703
_cell_angle_alpha 90.00
_cell_angle_beta 90.00
_cell_angle_gamma 90.00
_space_group_name_H-M_alt 'I 4/m'
_space_group_IT_number 87
_space_group_name_Hall '-I 4'
loop_
_atom_site_label
_atom_site_type_symbol
_atom_site_fract_x
_atom_site_fract_y
_atom_site_fract_z
La1 La 0.0000 0.0000 0.0000
Cd1 Cd 0.0012 0.3001 0.5000
# uncorrected energy: -9.9 eV per formula unit
# energy of formation: -266 meV/atom
# D(E_F): 4.5 states/eV per cell

---

# La2Cd5, relaxed, DFT PBE-GGA
data_La2Cd5
_cell_length_a 7.4488
_cell_length_b 14.3836
_cell_length_c 7.0966
_cell_angle_alpha 90.00
_cell_angle_beta 90.00
_cell_angle_gamma 90.00
_space_group_name_H-M_alt 'I b a m'
_space_group_IT_number 72
_space_group_name_Hall '-I 2 2c'
loop_
_atom_site_label
_atom_site_type_symbol
_atom_site_fract_x
_atom_site_fract_y
_atom_site_fract_z
La1 La 0.1987 0.1087 0.0000
Cd1 Cd 0.0000 0.2679 0.2500
Cd2 Cd 0.0000 0.5000 0.2500
Cd3 Cd 0.2462 0.1252 0.5000
# uncorrected energy: -16.6 eV per formula unit
# energy of formation: -305 meV/atom
# D(E_F): 19.9 states/eV per cell

---

# La5Cd, relaxed, DFT PBE-GGA
data_La5Cd
_cell_length_a 6.3146
_cell_length_b 6.3146
_cell_length_c 5.8485
_cell_angle_alpha 90.00
_cell_angle_beta 90.00
_cell_angle_gamma 120.00
_space_group_name_H-M_alt 'P -6 2 m'
_space_group_IT_number 189
_space_group_name_Hall 'P -6 -2'
loop_
_atom_site_label
_atom_site_type_symbol
_atom_site_fract_x
_atom_site_fract_y
_atom_site_fract_z
La1 La 0.0000 0.6878 0.0000
La2 La 0.3333 0.6667 0.5000
Cd1 Cd 0.0000 0.0000 0.5000
# uncorrected energy: -25.9 eV per formula unit
# energy of formation: -62 meV/atom
# offset from the most stable computed form: 47.0 meV per atom
# D(E_F): 9.1 states/eV per cell

---

Which of these has the lowest energy of formation?
LaCd